[1]
Ca3Al | the Alexandria database | PBE-GGA | relaxed; DFT formation energy = -4.5 kJ/mol of atoms; magnetic moment = 0.000 μB/f.u.
1.0
-3.254 3.413 -2.998
-1.182 -4.197 -3.495
-0.910 -0.607 5.504
Ca Al
3 1
direct
0.750 0.250 0.500
0.250 0.750 0.500
0.500 0.500 0.000
0.000 0.000 0.000

[2]
Ca2Al | the Alexandria database | PBE-GGA | relaxed; DFT formation energy = -13.2 kJ/mol of atoms; magnetic moment = 0.000 μB/f.u.
1.0
8.949 0.000 0.000
-4.474 7.750 0.000
0.000 0.000 4.072
Al Ca
3 6
direct
0.667 0.333 0.000
0.000 0.000 0.500
0.333 0.667 0.000
0.603 0.000 0.500
0.000 0.603 0.500
0.266 0.000 0.000
0.734 0.734 0.000
0.397 0.397 0.500
0.000 0.266 0.000

[3]
Ca3Al | the Alexandria database | PBE-GGA | relaxed; DFT formation energy = -7.3 kJ/mol of atoms; magnetic moment = 0.000 μB/f.u.
1.0
7.248 0.000 0.000
-3.624 6.277 0.000
0.000 0.000 5.562
Ca Al
6 2
direct
0.824 0.176 0.250
0.176 0.824 0.750
0.824 0.648 0.250
0.352 0.176 0.250
0.176 0.352 0.750
0.648 0.824 0.750
0.667 0.333 0.750
0.333 0.667 0.250

[4]
CaAl | the Alexandria database | PBE-GGA | relaxed; DFT formation energy = -3.9 kJ/mol of atoms; magnetic moment = 0.000 μB/f.u.
1.0
5.787 0.031 0.000
1.999 5.431 0.000
-3.893 -2.731 3.298
Al Ca
2 2
direct
0.250 0.750 0.500
0.000 0.000 0.000
0.500 0.500 0.000
0.750 0.250 0.500

[5]
Ca3Al4 | the Alexandria database | PBE-GGA | relaxed; DFT formation energy = 23.5 kJ/mol of atoms; magnetic moment = 0.000 μB/f.u.
1.0
3.959 3.697 -3.948
-6.646 0.114 -0.867
-0.362 3.905 3.294
Al Ca
4 3
direct
0.333 0.667 0.500
0.000 0.000 0.752
0.667 0.333 0.500
0.000 0.000 0.248
0.500 0.500 0.000
0.500 0.000 0.000
0.000 0.500 0.000

[6]
CaAl | the Alexandria database | PBE-GGA | relaxed; DFT formation energy = 8.1 kJ/mol of atoms; magnetic moment = 0.000 μB/f.u.
1.0
-1.656 2.865 1.336
-0.954 -1.287 -3.189
-3.414 -3.019 2.239
Ca Al
1 1
direct
0.667 0.333 0.500
0.000 0.000 0.000